Compound: Dy2YCu9
Source: the Alexandria database
Functional: GGA-PBE
Structure: optimized geometry

Cell lengths 5.1523, 5.1523, 8.8454 Å; angles 73.07, 73.07, 60.00 degrees
Sites, in units of the cell vectors:
1 Dy 0.8588 0.8588 0.4236
2 Dy 0.1412 0.1412 0.5764
3 Y 0.0000 0.0000 0.0000
4 Cu 0.6676 0.6676 0.9971
5 Cu 0.3324 0.3324 0.0029
6 Cu 0.5000 0.5000 0.5000
7 Cu 0.4181 0.4181 0.2459
8 Cu 0.9178 0.4181 0.2459
9 Cu 0.4181 0.9178 0.2459
10 Cu 0.5819 0.5819 0.7541
11 Cu 0.5819 0.0822 0.7541
12 Cu 0.0822 0.5819 0.7541

Values from the calculation:
space group: R-3m (166)
mass density: 8548 kg/m³
total energy: -4.580 eV/atom
DFT formation energy: -0.202 eV per atom